# 1
# Ho2Cu3Pd2 | the Alexandria database | PBE | relaxed
# **Spin magnetization**: 0.0 μB/f.u.
# **Energy of formation**: -50.4 kJ/mol of atoms
data_Ho2Cu3Pd2
_chemical_formula_sum 'Ho4 Cu6 Pd4'
_cell_length_a 9.576
_cell_length_b 4.324
_cell_length_c 6.401
_cell_angle_alpha 90.00
_cell_angle_beta 110.54
_cell_angle_gamma 90.00
_space_group_name_H-M_alt 'C 1 2/m 1'
_space_group_IT_number 12
loop_
_space_group_symop_operation_xyz
'x,y,z'
'-x,-y,-z'
'-x,y,-z'
'x,-y,z'
'x+1/2,y+1/2,z'
'-x+1/2,-y+1/2,-z'
'-x+1/2,y+1/2,-z'
'x+1/2,-y+1/2,z'
loop_
_atom_site_label
_atom_site_type_symbol
_atom_site_fract_x
_atom_site_fract_y
_atom_site_fract_z
_atom_site_occupancy
Ho1 Ho 0.147 0.000 0.255 1
Cu1 Cu 0.000 0.500 0.500 1
Cu2 Cu 0.106 0.500 0.927 1
Pd1 Pd 0.142 0.000 0.708 1

=====

# 2
# Ho3CuPd2 | the Alexandria database | PBE | relaxed
# **Spin magnetization**: 0.0 μB/f.u.
# **Energy of formation**: -66.6 kJ/mol of atoms
data_Ho3CuPd2
_chemical_formula_sum 'Ho6 Cu2 Pd4'
_cell_length_a 4.9208
_cell_length_b 4.9208
_cell_length_c 12.0979
_cell_angle_alpha 90.00
_cell_angle_beta 90.00
_cell_angle_gamma 120.00
_space_group_name_H-M_alt 'P -3 m 1'
_space_group_IT_number 164
_space_group_name_Hall '-P 3 2"'
loop_
_atom_site_label
_atom_site_type_symbol
_atom_site_fract_x
_atom_site_fract_y
_atom_site_fract_z
_atom_site_occupancy
Ho1 Ho 0.0000 0.0000 0.2495 1
Ho2 Ho 0.3333 0.6667 0.4162 1
Ho3 Ho 0.3333 0.6667 0.9174 1
Cu1 Cu 0.3333 0.6667 0.1663 1
Pd1 Pd 0.0000 0.0000 0.0000 1
Pd2 Pd 0.0000 0.0000 0.5000 1
Pd3 Pd 0.3333 0.6667 0.6688 1

=====

# 3
# Ho2Cu2Pd | the Alexandria database | PBE | relaxed
# **Spin magnetization**: 0.0 μB/f.u.
# **Relative energy among the computed polymorphs**: 39 meV/atom
# **Energy of formation**: -42.7 kJ/mol of atoms
data_Ho2Cu2Pd
_chemical_formula_sum 'Ho8 Cu8 Pd4'
_cell_length_a 7.096
_cell_length_b 7.096
_cell_length_c 7.740
_cell_angle_alpha 90.00
_cell_angle_beta 90.00
_cell_angle_gamma 90.00
_space_group_name_H-M_alt 'P 4/m n c'
_space_group_IT_number 128
_space_group_name_Hall '-P 4 2n'
loop_
_atom_site_label
_atom_site_type_symbol
_atom_site_fract_x
_atom_site_fract_y
_atom_site_fract_z
_atom_site_occupancy
Ho1 Ho 0.180 0.319 0.000 1
Cu1 Cu 0.121 0.621 0.250 1
Pd1 Pd 0.000 0.000 0.247 1

=====

Q: Look up the spin magnetization of the second one.
A: 0.0 μB/f.u.

=====

Q: Which formula does entry 3 have?
A: Ho2Cu2Pd